[1]
A plane-wave DFT calculation with PBE was carried out for a relaxed KLi2CeBr6 crystal.

Values from the calculation:
The value obtained for the formation energy (no corrections) is -1671 meV/atom. Its density of states at the Fermi level is 3.2 states/eV per cell. As for the space-group type: R3, No. 146. As for the total magnetization: 1.00 μB/cell. The volume is 314 Å³/cell.

a b c (Å): 7.8893 7.8893 7.8893
angles (deg): 55.83 55.83 55.83
Closest atoms and distances in Å follow each position.
Fractional coordinates of all 10 atoms:
K: 0.0000 0.0000 0.0000  6 Br 3.22-3.39
Li: 0.2828 0.2828 0.2828  6 Br 2.75-2.96
Li: 0.7897 0.7897 0.7897  6 Br 2.69-2.97
Ce: 0.4815 0.4815 0.4815  6 Br 2.93-2.94
Br: 0.0568 0.6323 0.4607  2 Li 2.69-2.96, 1 Ce 2.93
Br: 0.1874 0.5443 0.9053  2 Li 2.75-2.97, 1 Ce 2.94
Br: 0.4607 0.0568 0.6323  2 Li 2.69-2.96, 1 Ce 2.93
Br: 0.5443 0.9053 0.1874  2 Li 2.75-2.97, 1 Ce 2.94
Br: 0.6323 0.4607 0.0568  2 Li 2.69-2.96, 1 Ce 2.93
Br: 0.9053 0.1874 0.5443  2 Li 2.75-2.97, 1 Ce 2.94

---

[2]
A plane-wave DFT calculation with PBE was carried out for a relaxed KLiCeBr6 crystal.

Values from the calculation:
The value obtained for the formation energy (no corrections) is -1622 meV/atom. As for the space-group type: P-31c, No. 163. As for the total magnetization: 0.00 μB/cell. The volume is 661 Å³/cell.

a b c (Å): 7.2108 7.2108 14.6720
angles (deg): 90.00 90.00 120.00
Closest atoms and distances in Å follow each position.
Fractional coordinates of all 18 atoms:
K: 0.0000 0.0000 0.0000  6 Br 3.36
K: 0.0000 0.0000 0.5000  6 Br 3.36
Li: 0.3333 0.6667 0.2500  6 Br 2.79
Li: 0.6667 0.3333 0.7500  6 Br 2.79
Ce: 0.3333 0.6667 0.7500  6 Br 2.80
Ce: 0.6667 0.3333 0.2500  6 Br 2.80
Br: 0.0017 0.3678 0.1407  1 Li 2.79, 1 Ce 2.80
Br: 0.0017 0.6338 0.3593  1 Li 2.79, 1 Ce 2.80
Br: 0.3662 0.3678 0.3593  1 Li 2.79, 1 Ce 2.80
Br: 0.3662 0.9983 0.1407  1 Li 2.79, 1 Ce 2.80
Br: 0.3678 0.0017 0.6407  1 Li 2.79, 1 Ce 2.80
Br: 0.3678 0.3662 0.8593  1 Li 2.79, 1 Ce 2.80
Br: 0.6322 0.6338 0.1407  1 Li 2.79, 1 Ce 2.80
Br: 0.6322 0.9983 0.3593  1 Li 2.79, 1 Ce 2.80
Br: 0.6338 0.0017 0.8593  1 Li 2.79, 1 Ce 2.80
Br: 0.6338 0.6322 0.6407  1 Li 2.79, 1 Ce 2.80
Br: 0.9983 0.3662 0.6407  1 Li 2.79, 1 Ce 2.80
Br: 0.9983 0.6322 0.8593  1 Li 2.79, 1 Ce 2.80

---

[3]
A plane-wave DFT calculation with PBE was carried out for a relaxed KLi2CeBr8 crystal.

Values from the calculation:
The value obtained for the formation energy (no corrections) is -1394 meV/atom. Its density of states at the Fermi level is 1.8 states/eV per cell. As for the space-group type: P-1, No. 2. As for the total magnetization: 0.24 μB/cell. The volume is 398 Å³/cell.

a b c (Å): 5.8581 7.0228 9.6898
angles (deg): 89.97 89.76 88.44
Closest atoms and distances in Å follow each position.
Fractional coordinates of all 12 atoms:
K: 0.0000 0.0000 0.0000  6 Br 3.33-3.72
Li: 0.4988 0.4995 0.7007  4 Br 2.69-2.70
Li: 0.5012 0.5005 0.2993  4 Br 2.69-2.70
Ce: 0.0000 0.0000 0.5000  6 Br 2.82-2.83
Br: 0.2521 0.4799 0.9997  2 Br 2.93-2.96, 2 Li 3.24-3.26
Br: 0.2540 0.3375 0.5001  2 Li 2.69, 1 Ce 2.83
Br: 0.2543 0.8302 0.7156  1 Li 2.70, 1 Ce 2.82
Br: 0.2563 0.8307 0.2838  1 Li 2.70, 1 Ce 2.82
Br: 0.7437 0.1693 0.7162  1 Li 2.70, 1 Ce 2.82
Br: 0.7457 0.1698 0.2844  1 Li 2.70, 1 Ce 2.82
Br: 0.7460 0.6625 0.4999  2 Li 2.69, 1 Ce 2.83
Br: 0.7479 0.5201 0.0003  2 Br 2.93-2.96, 2 Li 3.24-3.26

---

[4]
A plane-wave DFT calculation with PBE was carried out for a relaxed K2LiCeBr6 crystal.

Values from the calculation:
The value obtained for the formation energy (no corrections) is -1738 meV/atom. Its density of states at the Fermi level is 16.8 states/eV per cell. As for the space-group type: P2_1/c, No. 14. As for the total magnetization: 2.00 μB/cell. The volume is 673 Å³/cell.

a b c (Å): 7.6609 8.0141 13.3116
angles (deg): 90.00 124.52 90.00
Closest atoms and distances in Å follow each position.
Fractional coordinates of all 20 atoms:
K: 0.2242 0.0715 0.2473  6 Br 3.35-3.57
K: 0.2242 0.4285 0.7473  6 Br 3.35-3.57
K: 0.7758 0.5715 0.2527  6 Br 3.35-3.57
K: 0.7758 0.9285 0.7527  6 Br 3.35-3.57
Li: 0.0000 0.0000 0.5000  6 Br 2.78-2.85
Li: 0.0000 0.5000 0.0000  6 Br 2.78-2.85
Ce: 0.5000 0.0000 0.0000  6 Br 2.92
Ce: 0.5000 0.5000 0.5000  6 Br 2.92
Br: 0.1425 0.2041 0.9491  1 Li 2.85, 1 Ce 2.92
Br: 0.1425 0.2959 0.4491  1 Li 2.85, 1 Ce 2.92
Br: 0.2499 0.6976 0.9510  1 Li 2.83, 1 Ce 2.92
Br: 0.2499 0.8024 0.4510  1 Li 2.83, 1 Ce 2.92
Br: 0.3408 0.0242 0.7429  1 Li 2.78, 1 Ce 2.92
Br: 0.3408 0.4758 0.2429  1 Li 2.78, 1 Ce 2.92
Br: 0.6592 0.5242 0.7571  1 Li 2.78, 1 Ce 2.92
Br: 0.6592 0.9758 0.2571  1 Li 2.78, 1 Ce 2.92
Br: 0.7501 0.1976 0.5490  1 Li 2.83, 1 Ce 2.92
Br: 0.7501 0.3024 0.0490  1 Li 2.83, 1 Ce 2.92
Br: 0.8575 0.7041 0.5509  1 Li 2.85, 1 Ce 2.92
Br: 0.8575 0.7959 0.0509  1 Li 2.85, 1 Ce 2.92

---

[5]
A plane-wave DFT calculation with PBE was carried out for a relaxed KCeMg2Br8 crystal.

Values from the calculation:
The value obtained for the formation energy (no corrections) is -1555 meV/atom. Its density of states at the Fermi level is 8.0 states/eV per cell. As for the space-group type: P-1, No. 2. As for the total magnetization: 1.00 μB/cell. The volume is 394 Å³/cell.

a b c (Å): 6.6592 6.9519 8.5070
angles (deg): 89.91 89.90 89.11
Closest atoms and distances in Å follow each position.
Fractional coordinates of all 12 atoms:
K: 0.0000 0.0000 0.0000  6 Br 3.15-3.18
Ce: 0.0000 0.0000 0.5000  6 Br 2.90-3.02
Mg: 0.4994 0.4997 0.2376  6 Br 2.67-2.92
Mg: 0.5006 0.5003 0.7624  6 Br 2.67-2.92
Br: 0.2613 0.8152 0.7293  1 Mg 2.70, 1 Ce 2.90
Br: 0.2619 0.8158 0.2705  1 Mg 2.70, 1 Ce 2.90
Br: 0.2762 0.3412 0.4999  2 Mg 2.90-2.92, 1 Ce 3.02
Br: 0.2843 0.3625 0.0001  2 Mg 2.67
Br: 0.7157 0.6375 0.9999  2 Mg 2.67
Br: 0.7238 0.6588 0.5001  2 Mg 2.90-2.92, 1 Ce 3.02
Br: 0.7381 0.1842 0.7295  1 Mg 2.70, 1 Ce 2.90
Br: 0.7387 0.1848 0.2707  1 Mg 2.70, 1 Ce 2.90

---

[6]
A plane-wave DFT calculation with PBE was carried out for a relaxed KNa2CeBr6 crystal.

Values from the calculation:
The value obtained for the formation energy (no corrections) is -1702 meV/atom. Its density of states at the Fermi level is 8.3 states/eV per cell. As for the space-group type: R3, No. 146. As for the total magnetization: 1.00 μB/cell. The volume is 356 Å³/cell.

a b c (Å): 8.2619 8.2619 8.2619
angles (deg): 55.42 55.42 55.42
Closest atoms and distances in Å follow each position.
Fractional coordinates of all 10 atoms:
K: 0.0000 0.0000 0.0000  6 Br 3.24-3.41
Na: 0.2907 0.2907 0.2907  6 Br 3.01-3.12
Na: 0.8011 0.8011 0.8011  6 Br 2.96-3.09
Ce: 0.4857 0.4857 0.4857  6 Br 2.94
Br: 0.0849 0.6619 0.4367  1 Ce 2.94, 2 Na 2.96-3.12, 1 K 3.24
Br: 0.2165 0.5692 0.8802  1 Ce 2.94, 2 Na 3.01-3.09
Br: 0.4367 0.0849 0.6619  1 Ce 2.94, 2 Na 2.96-3.12, 1 K 3.24
Br: 0.5692 0.8802 0.2165  1 Ce 2.94, 2 Na 3.01-3.09
Br: 0.6619 0.4367 0.0849  1 Ce 2.94, 2 Na 2.96-3.12, 1 K 3.24
Br: 0.8802 0.2165 0.5692  1 Ce 2.94, 2 Na 3.01-3.09

---

[7]
A plane-wave DFT calculation with PBE was carried out for a relaxed KNa2CeBr8 crystal.

Values from the calculation:
The value obtained for the formation energy (no corrections) is -1426 meV/atom. Its density of states at the Fermi level is 2.1 states/eV per cell. As for the space-group type: P-1, No. 2. As for the total magnetization: 0.32 μB/cell. The volume is 435 Å³/cell.

a b c (Å): 6.1795 7.2671 9.6904
angles (deg): 90.01 90.10 91.20
Closest atoms and distances in Å follow each position.
Fractional coordinates of all 12 atoms:
K: 0.0000 0.0000 0.0000  4 Br 3.36
Na: 0.5004 0.4999 0.2682  6 Br 2.99-3.04
Na: 0.4996 0.5001 0.7318  6 Br 2.99-3.04
Ce: 0.0000 0.0000 0.5000  6 Br 2.80-2.81
Br: 0.2464 0.4781 0.0000  2 Na 3.04, 2 Br 3.07-3.14
Br: 0.2468 0.3287 0.4996  1 Ce 2.81, 2 Na 2.99
Br: 0.2468 0.8518 0.2873  1 Ce 2.80, 1 Na 3.03
Br: 0.2478 0.8528 0.7132  1 Ce 2.80, 1 Na 3.03
Br: 0.7522 0.1472 0.2868  1 Ce 2.80, 1 Na 3.03
Br: 0.7532 0.1482 0.7127  1 Ce 2.80, 1 Na 3.03
Br: 0.7532 0.6713 0.5004  1 Ce 2.81, 2 Na 2.99
Br: 0.7536 0.5219 0.0000  2 Na 3.04, 2 Br 3.07-3.14

---

[8]
A plane-wave DFT calculation with PBE was carried out for a relaxed KNaCeBr6 crystal.

Values from the calculation:
The value obtained for the formation energy (no corrections) is -1617 meV/atom. As for the space-group type: P4_2nm, No. 102. As for the total magnetization: 0.00 μB/cell. The volume is 702 Å³/cell.

a b c (Å): 7.1844 7.1844 13.6081
angles (deg): 90.00 90.00 90.00
Closest atoms and distances in Å follow each position.
Fractional coordinates of all 18 atoms:
K: 0.0000 0.0000 0.0000  6 Br 3.24-3.32
K: 0.5000 0.5000 0.5000  6 Br 3.24-3.32
Na: 0.0000 0.0000 0.6681  6 Br 3.02-3.11
Na: 0.5000 0.5000 0.1681  6 Br 3.02-3.11
Ce: 0.0000 0.0000 0.3355  6 Br 2.80-2.81
Ce: 0.5000 0.5000 0.8355  6 Br 2.80-2.81
Br: 0.1810 0.1810 0.4918  1 Ce 2.81, 1 Na 3.02
Br: 0.1993 0.1993 0.1933  1 Ce 2.80, 1 Na 3.07
Br: 0.2240 0.2240 0.8237  1 Ce 2.81, 1 Na 3.11
Br: 0.2760 0.7240 0.3237  1 Ce 2.81, 1 Na 3.11
Br: 0.3007 0.6993 0.6933  1 Ce 2.80, 1 Na 3.07
Br: 0.3190 0.6810 0.9918  1 Ce 2.81, 1 Na 3.02
Br: 0.6810 0.3190 0.9918  1 Ce 2.81, 1 Na 3.02
Br: 0.6993 0.3007 0.6933  1 Ce 2.80, 1 Na 3.07
Br: 0.7240 0.2760 0.3237  1 Ce 2.81, 1 Na 3.11
Br: 0.7760 0.7760 0.8237  1 Ce 2.81, 1 Na 3.11
Br: 0.8007 0.8007 0.1933  1 Ce 2.80, 1 Na 3.07
Br: 0.8190 0.8190 0.4918  1 Ce 2.81, 1 Na 3.02

---

Q: What is the total magnetization in the seventh record?
A: 0.32 μB/cell